Entry from Alexandria via LeMat-Bulk: an optimized crystal structure of NbTcO2F (PBE).

Volume ... 12.9 Å³/atom
Magnetization ... 2.14 μB per formula unit
DOS(E_F) ... 4.3 states/eV per cell
SG ... No. 123
Uncorrected formation energy ... -0.52 eV per atom

abc: 3.939 3.939 4.174
angles: 90.00 90.00 90.00
Each line ends with the local moment (μB).
Element x y z (fractional)
Tc 0.000 0.000 0.000  -0.74
F 0.000 0.000 0.500  0.05
O 0.000 0.500 0.000  -0.08
O 0.500 0.000 0.000  -0.08
Nb 0.500 0.500 0.500  2.55

Entry from Alexandria via LeMat-Bulk: an optimized crystal structure of KScZn (PBE).

Volume ... 26.1 Å³/atom
Magnetization ... 0.00 μB per formula unit
DFT formation energy ... 0.5438 eV/atom
DOS(E_F) ... 3.9 states/eV per cell
SG ... No. 156

abc: 5.438 5.438 3.052
angles: 90.00 90.00 120.00
Element x y z (fractional)
Zn 0.333 0.667 0.672
K 0.000 0.000 0.043
Sc 0.667 0.333 0.285

Entry from Alexandria via LeMat-Bulk: an optimized crystal structure of SrMgW2 (PBE).

Volume ... 20.4 Å³/atom
Magnetization ... 0.00 μB per formula unit
DFT formation energy ... 1.0981 eV/atom
DOS(E_F) ... 3.8 states/eV per cell
SG ... No. 65

abc: 5.857 5.857 2.789
angles: 90.00 90.00 121.64
Element x y z (fractional)
W 0.000 0.000 0.000
W 0.500 0.500 0.000
Mg 0.500 0.000 0.500
Sr 0.000 0.500 0.500

Entry from Alexandria via LeMat-Bulk: an optimized crystal structure of KSn2Sb (PBE).

Volume ... 34.3 Å³/atom
Magnetization ... 0.00 μB per formula unit
DOS(E_F) ... 0.8 states/eV per cell
SG ... No. 122
Uncorrected formation energy ... -0.08 eV per atom

abc: 8.925 8.925 7.192
angles: 51.65 51.65 90.00
Element x y z (fractional)
Sb 0.000 0.000 0.000
Sb 0.750 0.250 0.500
Sn 0.076 0.625 0.250
Sn 0.674 0.125 0.250
Sn 0.375 0.326 0.750
Sn 0.875 0.924 0.750
K 0.500 0.500 0.000
K 0.250 0.750 0.500

Entry from Alexandria via LeMat-Bulk: an optimized crystal structure of BaNaTlS2 (PBE).

Volume ... 32.4 Å³/atom
Magnetization ... 0.00 μB per formula unit
DOS(E_F) ... 1.5 states/eV per cell
SG ... No. 13
Uncorrected formation energy ... -0.97 eV per atom

abc: 5.217 7.897 7.918
angles: 96.56 90.00 90.00
Element x y z (fractional)
S 0.393 0.260 0.030
S 0.393 0.740 0.470
S 0.607 0.260 0.530
S 0.607 0.740 0.970
Tl 0.000 0.000 0.500
Tl 0.000 0.000 0.000
Ba 0.747 0.500 0.250
Ba 0.253 0.500 0.750
Na 0.507 0.000 0.750
Na 0.493 0.000 0.250

Entry from Alexandria via LeMat-Bulk: an optimized crystal structure of PmTl2Hg9 (PBE).

Volume ... 27.3 Å³/atom
Magnetization ... 0.00 μB per formula unit
DFT formation energy ... -0.1226 eV/atom
DOS(E_F) ... 7.3 states/eV per cell
SG ... No. 123

abc: 4.695 4.695 14.848
angles: 90.00 90.00 90.00
Element x y z (fractional)
Hg 0.500 0.500 0.322
Hg 0.000 0.500 0.844
Hg 0.500 0.000 0.844
Hg 0.000 0.500 0.500
Hg 0.500 0.500 0.678
Hg 0.500 0.000 0.156
Hg 0.500 0.000 0.500
Hg 0.500 0.500 0.000
Hg 0.000 0.500 0.156
Tl 0.000 0.000 0.330
Tl 0.000 0.000 0.670
Pm 0.000 0.000 0.000

Entry from Alexandria via LeMat-Bulk: an optimized crystal structure of Ta2PbW (PBE).

Volume ... 18.7 Å³/atom
Magnetization ... 0.00 μB per formula unit
DFT formation energy ... 0.4618 eV/atom
DOS(E_F) ... 1.6 states/eV per cell
SG ... No. 123

abc: 4.264 4.259 4.121
angles: 90.00 90.00 90.00
Element x y z (fractional)
Pb 0.000 0.500 0.500
Ta 0.000 0.000 0.000
Ta 0.500 0.500 0.000
W 0.500 0.000 0.500

Entry from Alexandria via LeMat-Bulk: an optimized crystal structure of ErThCd (PBE).

Volume ... 28.3 Å³/atom
Magnetization ... 0.00 μB per formula unit
DFT formation energy ... 0.0582 eV/atom
DOS(E_F) ... 7.3 states/eV per cell
SG ... No. 51

abc: 3.283 8.373 6.185
angles: 90.00 90.00 90.00
Element x y z (fractional)
Th 0.000 0.128 0.750
Th 0.000 0.872 0.250
Er 0.000 0.500 0.000
Er 0.000 0.500 0.500
Cd 0.500 0.781 0.750
Cd 0.500 0.219 0.250